No. 1
Here is an optimized crystal structure of CaRe2Pb from Alexandria via LeMat-Bulk. Energies are from PBE-GGA.

CIF file:
```
data_CaRe2Pb
_cell_length_a 9.757
_cell_length_b 9.757
_cell_length_c 9.757
_cell_angle_alpha 18.79
_cell_angle_beta 18.79
_cell_angle_gamma 18.79
_symmetry_space_group_name_H-M 'P 1'
_symmetry_Int_Tables_number 1
loop_
_symmetry_equiv_pos_as_xyz
'x,y,z'
loop_
_atom_site_label
_atom_site_type_symbol
_atom_site_fract_x
_atom_site_fract_y
_atom_site_fract_z
Pb1 Pb 0.740 0.740 0.740
Re1 Re 0.990 0.990 0.990
Re2 Re 0.261 0.261 0.261
Ca1 Ca 0.510 0.510 0.510
```

The calculation puts the density of states at the Fermi level at 3.2 states/eV/cell. The magnetization comes out at 0.0 Bohr magnetons per cell. Its calculated total energy is -28.14 eV/cell. As for the space group: No. 160.


No. 2
Here is an optimized crystal structure of KInGe from Alexandria via LeMat-Bulk. Energies are from PBE-GGA.

CIF file:
```
data_KInGe
_cell_length_a 12.960
_cell_length_b 6.828
_cell_length_c 4.321
_cell_angle_alpha 90.00
_cell_angle_beta 90.00
_cell_angle_gamma 90.00
_symmetry_space_group_name_H-M 'P 1'
_symmetry_Int_Tables_number 1
loop_
_symmetry_equiv_pos_as_xyz
'x,y,z'
loop_
_atom_site_label
_atom_site_type_symbol
_atom_site_fract_x
_atom_site_fract_y
_atom_site_fract_z
K1 K 0.206 0.250 0.543
K2 K 0.294 0.750 0.043
K3 K 0.794 0.750 0.457
In1 In 0.500 0.500 0.500
K4 K 0.706 0.250 0.957
Ge1 Ge 0.578 0.750 0.933
In2 In 0.000 0.000 0.000
In3 In 0.000 0.500 0.000
Ge2 Ge 0.078 0.750 0.567
Ge3 Ge 0.922 0.250 0.433
Ge4 Ge 0.422 0.250 0.067
In4 In 0.500 0.000 0.500
```

The calculation puts the density of states at the Fermi level at 2.2 states/eV/cell. The magnetization comes out at 0.0 Bohr magnetons per cell. Its calculated total energy is -33.67 eV/cell. As for the space group: No. 62.


No. 3
Here is an optimized crystal structure of Ta2Ru from Alexandria via LeMat-Bulk. Energies are from PBE-GGA.

CIF file:
```
data_Ta2Ru
_cell_length_a 5.453
_cell_length_b 4.476
_cell_length_c 8.263
_cell_angle_alpha 90.00
_cell_angle_beta 90.00
_cell_angle_gamma 90.00
_symmetry_space_group_name_H-M 'P 1'
_symmetry_Int_Tables_number 1
loop_
_symmetry_equiv_pos_as_xyz
'x,y,z'
loop_
_atom_site_label
_atom_site_type_symbol
_atom_site_fract_x
_atom_site_fract_y
_atom_site_fract_z
Ta1 Ta 0.982 0.750 0.760
Ta2 Ta 0.831 0.750 0.413
Ta3 Ta 0.018 0.250 0.240
Ta4 Ta 0.482 0.750 0.740
Ru1 Ru 0.678 0.250 0.570
Ru2 Ru 0.822 0.750 0.070
Ta5 Ta 0.518 0.250 0.260
Ta6 Ta 0.169 0.250 0.587
Ta7 Ta 0.331 0.750 0.087
Ru3 Ru 0.178 0.250 0.930
Ru4 Ru 0.322 0.750 0.430
Ta8 Ta 0.669 0.250 0.913
```

The calculation puts the density of states at the Fermi level at 7.7 states/eV/cell. The magnetization comes out at 0.0 Bohr magnetons per cell. Its calculated total energy is -134.53 eV/cell. As for the space group: No. 62.


No. 4
Here is an optimized crystal structure of KAl from Alexandria via LeMat-Bulk. Energies are from PBE-GGA.

CIF file:
```
data_KAl
_cell_length_a 9.741
_cell_length_b 17.074
_cell_length_c 6.440
_cell_angle_alpha 90.00
_cell_angle_beta 90.00
_cell_angle_gamma 90.00
_symmetry_space_group_name_H-M 'P 1'
_symmetry_Int_Tables_number 1
loop_
_symmetry_equiv_pos_as_xyz
'x,y,z'
loop_
_atom_site_label
_atom_site_type_symbol
_atom_site_fract_x
_atom_site_fract_y
_atom_site_fract_z
Al1 Al 0.500 0.079 0.500
K1 K 0.585 0.250 0.750
Al2 Al 0.750 0.171 0.250
Al3 Al 0.500 0.921 0.500
Al4 Al 0.750 0.671 0.750
Al5 Al 0.000 0.921 0.000
Al6 Al 0.500 0.421 0.000
K2 K 0.165 0.000 0.500
K3 K 0.085 0.750 0.750
K4 K 0.665 0.500 0.500
K5 K 0.915 0.750 0.250
K6 K 0.835 0.500 0.000
K7 K 0.335 0.000 0.000
Al7 Al 0.000 0.079 0.000
K8 K 0.585 0.750 0.250
K9 K 0.915 0.250 0.750
Al8 Al 0.250 0.829 0.250
K10 K 0.665 0.000 0.000
K11 K 0.085 0.250 0.250
Al9 Al 0.000 0.421 0.500
Al10 Al 0.500 0.579 0.000
Al11 Al 0.750 0.829 0.750
Al12 Al 0.250 0.171 0.750
K12 K 0.415 0.250 0.250
Al13 Al 0.250 0.329 0.750
Al14 Al 0.750 0.329 0.250
Al15 Al 0.000 0.579 0.500
K13 K 0.165 0.500 0.000
Al16 Al 0.250 0.671 0.250
K14 K 0.835 0.000 0.500
K15 K 0.415 0.750 0.750
K16 K 0.335 0.500 0.500
```

The calculation puts the density of states at the Fermi level at 22.0 states/eV/cell. The magnetization comes out at 0.0 Bohr magnetons per cell. Its energy above the lowest structure with this stoichiometry is 233 meV/atom. As for the space group: No. 70.


No. 5
Here is an optimized crystal structure of Ac2PmNi from Alexandria via LeMat-Bulk. Energies are from PBE-GGA.

CIF file:
```
data_Ac2PmNi
_cell_length_a 3.930
_cell_length_b 6.746
_cell_length_c 10.467
_cell_angle_alpha 90.00
_cell_angle_beta 90.00
_cell_angle_gamma 106.92
_symmetry_space_group_name_H-M 'P 1'
_symmetry_Int_Tables_number 1
loop_
_symmetry_equiv_pos_as_xyz
'x,y,z'
loop_
_atom_site_label
_atom_site_type_symbol
_atom_site_fract_x
_atom_site_fract_y
_atom_site_fract_z
Ac1 Ac 0.363 0.725 0.929
Ni1 Ni 0.761 0.522 0.750
Ni2 Ni 0.239 0.478 0.250
Pm1 Pm 0.100 0.200 0.750
Pm2 Pm 0.900 0.800 0.250
Ac2 Ac 0.637 0.275 0.071
Ac3 Ac 0.637 0.275 0.429
Ac4 Ac 0.363 0.725 0.571
```

The calculation puts the density of states at the Fermi level at 11.5 states/eV/cell. The magnetization comes out at 0.0 Bohr magnetons per cell. Its energy above the lowest structure with this stoichiometry is 17 meV/atom. As for the space group: No. 63.


No. 6
Here is an optimized crystal structure of Cd3RuS from Alexandria via LeMat-Bulk. Energies are from PBE-GGA.

CIF file:
```
data_Cd3RuS
_cell_length_a 4.957
_cell_length_b 4.957
_cell_length_c 4.957
_cell_angle_alpha 90.00
_cell_angle_beta 90.00
_cell_angle_gamma 90.00
_symmetry_space_group_name_H-M 'P 1'
_symmetry_Int_Tables_number 1
loop_
_symmetry_equiv_pos_as_xyz
'x,y,z'
loop_
_atom_site_label
_atom_site_type_symbol
_atom_site_fract_x
_atom_site_fract_y
_atom_site_fract_z
Ru1 Ru 0.500 0.500 0.500
S1 S 0.000 0.000 0.000
Cd1 Cd 0.000 0.500 0.000
Cd2 Cd 0.500 0.000 0.000
Cd3 Cd 0.000 0.000 0.500
```

The calculation puts the density of states at the Fermi level at 6.2 states/eV/cell. The magnetization comes out at 1.1 Bohr magnetons per cell. Its energy above the lowest structure with this stoichiometry is 162 meV/atom. The value obtained for the uncorrected formation energy is 5.1 eV per formula unit. As for the space group: No. 221.